Computed, not measured: Sr2AgHg after structural relaxation at the GGA-PBE level of DFT.

The space group is C2/m (No. 12) and the conventional cell measures 8.053, 4.604 and 8.252 Å, with angles of 90.00, 108.51 and 90.00 degrees. Symmetry generates all atoms from Sr at (0.245, 0.000, 0.236), Ag at (0.000, 0.500, 0.000) and Hg at (0.000, 0.000, 0.500).

For the density, the calculation gives 5.537 g/cm3. The value obtained for the volume is 145.1 Å³/f.u. As for the formation energy from the elements: -305 meV/atom.